# Ni3GeO

An optimized crystal structure of Ni3GeO (PBE+U, Alexandria).

abc: 4.2251 4.2251 4.2251
angles: 90.00 90.00 90.00
Space group Pm-3m (No. 221)
Unique sites:
Ni  0.0000  0.0000  0.5000 x3
Ge  0.0000  0.0000  0.0000 x1
O  0.5000  0.5000  0.5000 x1

Results
**Calculated total energy**: -1.6504 eV per atom